DFT (GGA-PBE) results for a geometry-optimized K2InMo structure.

Output
The calculation puts the total DFT energy (no corrections) at -2.89 eV/atom. As for the volume: 31.63 Å³ per atom. The value obtained for the energy of formation from the pure elements is 1.0474 eV per atom.

```
data_K2InMo
_symmetry_space_group_name_H-M 'P m m m'
_symmetry_Int_Tables_number 47
_cell_length_a 3.618
_cell_length_b 5.769
_cell_length_c 6.063
_cell_angle_alpha 90.00
_cell_angle_beta 90.00
_cell_angle_gamma 90.00
loop_
_symmetry_equiv_pos_as_xyz
'x,y,z'
'-x,-y,-z'
'-x,-y,z'
'x,y,-z'
'x,-y,-z'
'-x,y,z'
'-x,y,-z'
'x,-y,z'
loop_
_atom_site_label
_atom_site_type_symbol
_atom_site_fract_x
_atom_site_fract_y
_atom_site_fract_z
_atom_site_occupancy
K1 K 0.000 0.000 0.250 1
In1 In 0.500 0.500 0.000 1
Mo1 Mo 0.500 0.500 0.500 1
```

---

DFT (GGA-PBE) results for a geometry-optimized KInMo structure.

Output
The value obtained for the energy relative to the lowest polymorph listed for this composition is 5.0 kJ/mol of formula units. The calculation puts the total DFT energy (no corrections) at -4.09 eV/atom. As for the volume: 29.16 Å³ per atom. The value obtained for the energy of formation from the pure elements is 0.8032 eV per atom.

```
data_KInMo
_symmetry_space_group_name_H-M 'I m m 2'
_symmetry_Int_Tables_number 44
_cell_length_a 2.950
_cell_length_b 4.716
_cell_length_c 12.574
_cell_angle_alpha 90.00
_cell_angle_beta 90.00
_cell_angle_gamma 90.00
loop_
_symmetry_equiv_pos_as_xyz
'x,y,z'
'-x,-y,z'
'-x,y,z'
'x,-y,z'
'x+1/2,y+1/2,z+1/2'
'-x+1/2,-y+1/2,z+1/2'
'-x+1/2,y+1/2,z+1/2'
'x+1/2,-y+1/2,z+1/2'
loop_
_atom_site_label
_atom_site_type_symbol
_atom_site_fract_x
_atom_site_fract_y
_atom_site_fract_z
_atom_site_occupancy
K1 K 0.000 0.000 0.000 1
In1 In 0.000 0.000 0.725 1
Mo1 Mo 0.000 0.000 0.272 1
```

---

DFT (GGA-PBE) results for a geometry-optimized KIn2Mo structure.

Output
The value obtained for the energy relative to the lowest polymorph listed for this composition is 38.7 kJ/mol of formula units. The calculation puts the total DFT energy (no corrections) at -3.92 eV/atom. As for the volume: 29.79 Å³ per atom. The value obtained for the energy of formation from the pure elements is 0.4348 eV per atom.

```
data_KIn2Mo
_symmetry_space_group_name_H-M 'C 1 m 1'
_symmetry_Int_Tables_number 8
_cell_length_a 17.274
_cell_length_b 2.981
_cell_length_c 4.817
_cell_angle_alpha 90.00
_cell_angle_beta 106.11
_cell_angle_gamma 90.00
loop_
_symmetry_equiv_pos_as_xyz
'x,y,z'
'x,-y,z'
'x+1/2,y+1/2,z'
'x+1/2,-y+1/2,z'
loop_
_atom_site_label
_atom_site_type_symbol
_atom_site_fract_x
_atom_site_fract_y
_atom_site_fract_z
_atom_site_occupancy
K1 K 0.000 0.000 0.000 1
In1 In 0.154 0.500 0.654 1
In2 In 0.319 0.500 0.321 1
Mo1 Mo 0.298 0.000 0.799 1
```

---

DFT (GGA-PBE) results for a geometry-optimized K2InMo structure.

Output
The calculation puts the total DFT energy (no corrections) at -2.94 eV/atom. As for the volume: 27.87 Å³ per atom. The value obtained for the energy of formation from the pure elements is 0.9987 eV per atom.

```
data_K2InMo
_symmetry_space_group_name_H-M 'P m m m'
_symmetry_Int_Tables_number 47
_cell_length_a 4.026
_cell_length_b 4.638
_cell_length_c 5.970
_cell_angle_alpha 90.00
_cell_angle_beta 90.00
_cell_angle_gamma 90.00
loop_
_symmetry_equiv_pos_as_xyz
'x,y,z'
'-x,-y,-z'
'-x,-y,z'
'x,y,-z'
'x,-y,-z'
'-x,y,z'
'-x,y,-z'
'x,-y,z'
loop_
_atom_site_label
_atom_site_type_symbol
_atom_site_fract_x
_atom_site_fract_y
_atom_site_fract_z
_atom_site_occupancy
K1 K 0.000 0.000 0.000 1
K2 K 0.500 0.500 0.000 1
In1 In 0.000 0.500 0.500 1
Mo1 Mo 0.500 0.000 0.500 1
```

---

DFT (GGA-PBE) results for a geometry-optimized K2InMo structure.

Output
The calculation puts the total DFT energy (no corrections) at -2.95 eV/atom. As for the volume: 27.08 Å³ per atom. The value obtained for the energy of formation from the pure elements is 0.9909 eV per atom.

```
data_K2InMo
_symmetry_space_group_name_H-M 'I m m m'
_symmetry_Int_Tables_number 71
_symmetry_space_group_name_Hall '-I 2 2'
_cell_length_a 4.255
_cell_length_b 4.257
_cell_length_c 11.959
_cell_angle_alpha 90.00
_cell_angle_beta 90.00
_cell_angle_gamma 90.00
loop_
_atom_site_label
_atom_site_type_symbol
_atom_site_fract_x
_atom_site_fract_y
_atom_site_fract_z
_atom_site_occupancy
K1 K 0.000 0.000 0.249 1
In1 In 0.000 0.500 0.500 1
Mo1 Mo 0.000 0.500 0.000 1
```

---

DFT (GGA-PBE) results for a geometry-optimized KInMo structure.

Output
The value obtained for the energy relative to the lowest polymorph listed for this composition is 298.8 kJ/mol of formula units. The calculation puts the total DFT energy (no corrections) at -3.07 eV/atom. As for the volume: 36.66 Å³ per atom. The value obtained for the energy of formation from the pure elements is 1.8182 eV per atom.

```
data_KInMo
_symmetry_space_group_name_H-M 'F -4 3 m'
_symmetry_Int_Tables_number 216
_symmetry_space_group_name_Hall 'F -4 2 3'
_cell_length_a 7.605
_cell_length_b 7.605
_cell_length_c 7.605
_cell_angle_alpha 90.00
_cell_angle_beta 90.00
_cell_angle_gamma 90.00
loop_
_atom_site_label
_atom_site_type_symbol
_atom_site_fract_x
_atom_site_fract_y
_atom_site_fract_z
_atom_site_occupancy
K1 K 0.000 0.000 0.000 1
In1 In 0.250 0.250 0.250 1
Mo1 Mo 0.250 0.250 0.750 1
```

---

DFT (GGA-PBE) results for a geometry-optimized K2InMo structure.

Output
The calculation puts the total DFT energy (no corrections) at -2.94 eV/atom. As for the volume: 26.16 Å³ per atom. The value obtained for the energy of formation from the pure elements is 1.0005 eV per atom.

```
data_K2InMo
_symmetry_space_group_name_H-M 'P 1 2/m 1'
_symmetry_Int_Tables_number 10
_cell_length_a 3.055
_cell_length_b 6.205
_cell_length_c 5.529
_cell_angle_alpha 90.00
_cell_angle_beta 93.53
_cell_angle_gamma 90.00
loop_
_symmetry_equiv_pos_as_xyz
'x,y,z'
'-x,-y,-z'
'-x,y,-z'
'x,-y,z'
loop_
_atom_site_label
_atom_site_type_symbol
_atom_site_fract_x
_atom_site_fract_y
_atom_site_fract_z
_atom_site_occupancy
K1 K 0.234 0.000 0.252 1
In1 In 0.500 0.500 0.000 1
Mo1 Mo 0.000 0.500 0.500 1
```